1.
{"formula": "Ho3ErTh4Se8", "functional": "PBE", "state": "optimized geometry", "crystal_system": "trigonal", "final_energy_ev_per_cell": -101.95, "sg": "R-3m, No. 166", "formation_energy_uncorrected_ev_per_atom": -1.6311, "cell": [[4.016, 2.318, 7.119], [-4.016, 2.318, 7.119], [0.000, -4.637, 7.119]], "species": ["Ho", "Ho", "Ho", "Er", "Th", "Th", "Th", "Th", "Se", "Se", "Se", "Se", "Se", "Se", "Se", "Se"], "frac_coords": [[0.000, 0.500, 0.500], [0.500, 0.000, 0.500], [0.500, 0.500, 0.000], [0.000, 0.000, 0.000], [0.000, 0.000, 0.500], [0.000, 0.500, 0.000], [0.500, 0.000, 0.000], [0.500, 0.500, 0.500], [0.243, 0.243, 0.745], [0.243, 0.745, 0.243], [0.255, 0.757, 0.757], [0.256, 0.256, 0.256], [0.744, 0.744, 0.744], [0.745, 0.243, 0.243], [0.757, 0.255, 0.757], [0.757, 0.757, 0.255]]}

***

2.
{"formula": "Ca2HoMg", "functional": "PBE", "state": "optimized geometry", "crystal_system": "tetragonal", "ef_ev_per_atom": 0.082, "final_energy_ev_per_cell": -9.85, "sg": "P4/mmm, No. 123", "de_polymorph_mev_per_atom": 2, "cell": [[5.006, 0.000, 0.000], [0.000, 5.006, 0.000], [0.000, 0.000, 5.328]], "species": ["Ca", "Ca", "Ho", "Mg"], "frac_coords": [[0.000, 0.500, 0.000], [0.500, 0.000, 0.000], [0.000, 0.000, 0.500], [0.500, 0.500, 0.500]]}

***

3.
{"formula": "TbPr2Tl", "functional": "PBE", "state": "optimized geometry", "crystal_system": "cubic", "ef_ev_per_atom": -0.068, "final_energy_ev_per_cell": -67.32, "sg": "Fm-3m, No. 225", "de_polymorph_mev_per_atom": 129, "cell": [[7.960, 0.000, 0.000], [0.000, 7.960, 0.000], [0.000, 0.000, 7.960]], "species": ["Tb", "Tb", "Tb", "Tb", "Pr", "Pr", "Pr", "Pr", "Pr", "Pr", "Pr", "Pr", "Tl", "Tl", "Tl", "Tl"], "frac_coords": [[0.000, 0.000, 0.000], [0.000, 0.500, 0.500], [0.500, 0.000, 0.500], [0.500, 0.500, 0.000], [0.250, 0.250, 0.250], [0.250, 0.250, 0.750], [0.250, 0.750, 0.250], [0.250, 0.750, 0.750], [0.750, 0.250, 0.250], [0.750, 0.250, 0.750], [0.750, 0.750, 0.250], [0.750, 0.750, 0.750], [0.000, 0.000, 0.500], [0.000, 0.500, 0.000], [0.500, 0.000, 0.000], [0.500, 0.500, 0.500]]}

***

4.
{"formula": "Ag2Se", "functional": "PBE", "state": "optimized geometry", "crystal_system": "tetragonal", "final_energy_ev_per_cell": -36.50, "sg": "I4_1/amd, No. 141", "formation_energy_uncorrected_ev_per_atom": 0.0209, "cell": [[-2.075, 2.075, 13.595], [2.075, -2.075, 13.595], [2.075, 2.075, -13.595]], "species": ["Ag", "Ag", "Ag", "Ag", "Ag", "Ag", "Ag", "Ag", "Se", "Se", "Se", "Se"], "frac_coords": [[0.124, 0.374, 0.750], [0.290, 0.540, 0.750], [0.374, 0.124, 0.250], [0.460, 0.710, 0.750], [0.540, 0.290, 0.250], [0.626, 0.876, 0.750], [0.710, 0.460, 0.250], [0.876, 0.626, 0.250], [0.052, 0.802, 0.250], [0.198, 0.948, 0.250], [0.802, 0.052, 0.750], [0.948, 0.198, 0.750]]}

***

5.
{"formula": "Pm2CI2", "functional": "PBE", "state": "optimized geometry", "crystal_system": "orthorhombic", "final_energy_ev_per_cell": -50.08, "sg": "Cmc2_1, No. 36", "de_polymorph_mev_per_atom": 251, "formation_energy_uncorrected_ev_per_atom": -0.6432, "cell": [[1.860, -7.308, 0.000], [1.860, 7.308, 0.000], [0.000, 0.000, 11.327]], "species": ["Pm", "Pm", "Pm", "Pm", "C", "C", "I", "I", "I", "I"], "frac_coords": [[0.036, 0.964, 0.500], [0.210, 0.790, 0.680], [0.790, 0.210, 0.180], [0.964, 0.036, 0.000], [0.375, 0.625, 0.083], [0.625, 0.375, 0.583], [0.101, 0.899, 0.228], [0.346, 0.654, 0.417], [0.654, 0.346, 0.917], [0.899, 0.101, 0.728]]}

***

6.
{"formula": "NaGaBrCl2", "functional": "PBE", "state": "optimized geometry", "crystal_system": "tetragonal", "final_energy_ev_per_cell": -14.91, "sg": "P4/mmm, No. 123", "formation_energy_uncorrected_ev_per_atom": -1.0396, "cell": [[5.036, 0.000, 0.000], [0.000, 5.036, 0.000], [0.000, 0.000, 5.474]], "species": ["Na", "Ga", "Br", "Cl", "Cl"], "frac_coords": [[0.000, 0.000, 0.000], [0.500, 0.500, 0.500], [0.500, 0.500, 0.000], [0.000, 0.500, 0.500], [0.500, 0.000, 0.500]]}

***

- Which formula does entry 3 have?
  TbPr2Tl

***

- Number 3 is which compound?
  TbPr2Tl